# ReNiSe2, optimized geometry, DFT PBE
# **E**: -24.67 eV/f.u.
# **Relative energy among the computed polymorphs**: 34 kJ/mol of formula units
# **Formation energy from raw total energies**: 0.131 eV/atom
# **Total moment**: 0.456 μB per atom
data_ReNiSe2
_chemical_formula_sum 'Re2 Ni2 Se4'
_cell_length_a 3.516
_cell_length_b 3.827
_cell_length_c 13.159
_cell_angle_alpha 90.00
_cell_angle_beta 90.00
_cell_angle_gamma 90.00
_space_group_name_H-M_alt 'I m m m'
_space_group_IT_number 71
_space_group_name_Hall '-I 2 2'
loop_
_atom_site_label
_atom_site_type_symbol
_atom_site_fract_x
_atom_site_fract_y
_atom_site_fract_z
Re1 Re 0.000 0.000 0.000
Ni1 Ni 0.000 0.000 0.500
Se1 Se 0.000 0.500 0.128